A relaxed structure of UBiSb, computed with PBE-GGA.

The space group is I4mm (No. 107) and the conventional cell measures 4.016, 4.016 and 10.339 Å, with angles of 90.00, 90.00 and 90.00 degrees. The distinct sites, in fractional coordinates, are U at (0.000, 0.000, 0.000), Bi at (0.000, 0.000, 0.667) and Sb at (0.000, 0.000, 0.357).

As for the total magnetic moment: 2.651 μB per formula unit. For the offset from the most stable computed form, the calculation gives 0.098 eV per atom. The calculation puts the uncorrected formation energy at -0.067 eV/f.u. As for the raw total energy: -6.453 eV per atom. The density of states at the Fermi level is 10.04 states/eV per cell. The calculated density is 11.3 g cm⁻³. The calculation puts the volume at 167 Å³ per cell.

***

A relaxed structure of Ca2SbIN, computed with PBE-GGA.

The space group is P4/mmm (No. 123) and the conventional cell measures 5.915, 5.915 and 4.104 Å, with angles of 90.00, 90.00 and 90.00 degrees. The distinct sites, in fractional coordinates, are Ca at (0.000, 0.500, 0.000), Sb at (0.000, 0.000, 0.500), I at (0.500, 0.500, 0.000) and N at (0.500, 0.500, 0.500).

As for the total magnetic moment: 0.001 μB per formula unit. The calculation puts the uncorrected formation energy at 0.827 eV/f.u. As for the raw total energy: -3.435 eV per atom. The density of states at the Fermi level is 2.63 states/eV per cell. The calculated density is 4.0 g cm⁻³. The calculation puts the volume at 144 Å³ per cell.

***

A relaxed structure of HoThRh, computed with PBE-GGA.

The space group is I4mm (No. 107) and the conventional cell measures 3.610, 3.610 and 11.342 Å, with angles of 90.00, 90.00 and 90.00 degrees. The distinct sites, in fractional coordinates, are Ho at (0.000, 0.000, 0.000), Th at (0.000, 0.000, 0.709) and Rh at (0.000, 0.000, 0.337).

As for the total magnetic moment: 0.000 μB per formula unit. For the offset from the most stable computed form, the calculation gives 0.098 eV per atom. For the formation energy, the calculation gives -500 meV/atom. As for the raw total energy: -6.950 eV per atom. The density of states at the Fermi level is 8.27 states/eV per cell. The calculated density is 11.2 g cm⁻³. The calculation puts the volume at 148 Å³ per cell.

***

- The highest raw total energy belongs to which entry?
  Ca2SbIN

***

- The highest raw total energy belongs to which entry?
  Ca2SbIN